Material: RbVP2O
Method: DFT, PBE+U
State: optimized geometry

Structure (POSCAR):
```
RbVP2O
1.0
5.2606 0.0000 0.0000
0.0000 5.2606 0.0000
0.0000 0.0000 4.2214
Rb V P O
1 1 2 1
direct
0.0000 0.0000 0.0000
0.5000 0.5000 0.5000
0.0000 0.5000 0.0000
0.5000 0.0000 0.0000
0.0000 0.0000 0.5000
```

Computed properties:
As for the density: 3.0 Mg/m³. As for the space group: P4/mmm (123). As for the energy above the most stable polymorph in this dataset: 2145 meV/atom. Its size of the total moment is 0.94 μB per formula unit. The value obtained for the density of states at the Fermi level is 1.404 states/eV/atom.